## A
{
  "formula": "Na2AlAs",
  "functional": "PBE",
  "state": "relaxed",
  "dos_ef_per_ev_fu": 1.95,
  "volume_a3_per_cell": 362.1,
  "spacegroup": "I-42d",
  "cell": [[4.1069, 0.0000, 0.0000], [0.0000, 4.1069, 0.0000], [0.0000, 0.0000, 21.4681]],
  "species": ["Na", "Na", "Na", "Na", "Na", "Na", "Na", "Na", "Al", "Al", "Al", "Al", "As", "As", "As", "As"],
  "frac_coords": [[0.2376, 0.2500, 0.1250], [0.2500, 0.7376, 0.3750], [0.2500, 0.7624, 0.8750], [0.2624, 0.2500, 0.6250], [0.7376, 0.7500, 0.6250], [0.7500, 0.2376, 0.8750], [0.7500, 0.2624, 0.3750], [0.7624, 0.7500, 0.1250], [0.0000, 0.0000, 0.5000], [0.0000, 0.5000, 0.7500], [0.5000, 0.0000, 0.2500], [0.5000, 0.5000, 0.0000], [0.0000, 0.0000, 0.0000], [0.0000, 0.5000, 0.2500], [0.5000, 0.0000, 0.7500], [0.5000, 0.5000, 0.5000]]
}

## B
{
  "formula": "Na2AlAs",
  "functional": "PBE",
  "state": "relaxed",
  "dos_ef_per_ev_fu": 0.00,
  "volume_a3_per_cell": 360.2,
  "spacegroup": "Fm-3m",
  "cell": [[7.1149, 0.0000, 0.0000], [0.0000, 7.1149, 0.0000], [0.0000, 0.0000, 7.1149]],
  "species": ["Na", "Na", "Na", "Na", "Na", "Na", "Na", "Na", "Al", "Al", "Al", "Al", "As", "As", "As", "As"],
  "frac_coords": [[0.2500, 0.2500, 0.2500], [0.2500, 0.2500, 0.7500], [0.2500, 0.7500, 0.2500], [0.2500, 0.7500, 0.7500], [0.7500, 0.2500, 0.2500], [0.7500, 0.2500, 0.7500], [0.7500, 0.7500, 0.2500], [0.7500, 0.7500, 0.7500], [0.0000, 0.0000, 0.0000], [0.0000, 0.5000, 0.5000], [0.5000, 0.0000, 0.5000], [0.5000, 0.5000, 0.0000], [0.0000, 0.0000, 0.5000], [0.0000, 0.5000, 0.0000], [0.5000, 0.0000, 0.0000], [0.5000, 0.5000, 0.5000]]
}

Least stable structure: A

## A
{
  "formula": "NaAl2As2",
  "functional": "PBE",
  "state": "relaxed",
  "dos_ef_per_ev_fu": 1.68,
  "volume_a3_per_cell": 196.6,
  "spacegroup": "P4/mbm",
  "cell": [[7.5211, 0.0000, 0.0000], [0.0000, 7.5211, 0.0000], [0.0000, 0.0000, 3.4755]],
  "species": ["Na", "Na", "Al", "Al", "Al", "Al", "As", "As", "As", "As"],
  "frac_coords": [[0.0000, 0.0000, 0.0000], [0.5000, 0.5000, 0.0000], [0.1338, 0.3662, 0.5000], [0.3662, 0.8662, 0.5000], [0.6338, 0.1338, 0.5000], [0.8662, 0.6338, 0.5000], [0.1564, 0.6564, 0.0000], [0.3436, 0.1564, 0.0000], [0.6564, 0.8436, 0.0000], [0.8436, 0.3436, 0.0000]]
}

## B
{
  "formula": "NaAl2As2",
  "functional": "PBE",
  "state": "relaxed",
  "dos_ef_per_ev_fu": 1.92,
  "volume_a3_per_cell": 236.9,
  "spacegroup": "I4/mmm",
  "cell": [[4.2232, 0.0000, 0.0000], [0.0000, 4.2232, 0.0000], [0.0000, 0.0000, 13.2803]],
  "species": ["Na", "Na", "Al", "Al", "Al", "Al", "As", "As", "As", "As"],
  "frac_coords": [[0.0000, 0.0000, 0.0000], [0.5000, 0.5000, 0.5000], [0.0000, 0.5000, 0.2500], [0.0000, 0.5000, 0.7500], [0.5000, 0.0000, 0.2500], [0.5000, 0.0000, 0.7500], [0.0000, 0.0000, 0.3614], [0.0000, 0.0000, 0.6386], [0.5000, 0.5000, 0.1386], [0.5000, 0.5000, 0.8614]]
}

Least stable structure: A

## A
{
  "formula": "Na3AlAs2",
  "functional": "PBE",
  "state": "relaxed",
  "volume_a3_per_cell": 332.7,
  "spacegroup": "Ibam",
  "cell": [[-3.3643, 6.6359, 3.7252], [3.3643, -6.6359, 3.7252], [3.3643, 6.6359, -3.7252]],
  "species": ["Na", "Na", "Na", "Na", "Na", "Na", "Al", "Al", "As", "As", "As", "As"],
  "frac_coords": [[0.0097, 0.7500, 0.2597], [0.2500, 0.2500, 0.0000], [0.4903, 0.7500, 0.7403], [0.5097, 0.2500, 0.2597], [0.7500, 0.7500, 0.0000], [0.9903, 0.2500, 0.7403], [0.0000, 0.5000, 0.5000], [0.5000, 0.0000, 0.5000], [0.1232, 0.7452, 0.8683], [0.3768, 0.2452, 0.6220], [0.6232, 0.7548, 0.3780], [0.8768, 0.2548, 0.1317]]
}

## B
{
  "formula": "Na3AlAs2",
  "functional": "PBE",
  "state": "relaxed",
  "dos_ef_per_ev_fu": 0.65,
  "volume_a3_per_cell": 291.1,
  "spacegroup": "C2/m",
  "cell": [[8.0021, -2.2344, 0.0000], [8.0021, 2.2344, 0.0000], [-1.6860, 0.0000, 8.1402]],
  "species": ["Na", "Na", "Na", "Na", "Na", "Na", "Al", "Al", "As", "As", "As", "As"],
  "frac_coords": [[0.0610, 0.0610, 0.1786], [0.1916, 0.1916, 0.5593], [0.3123, 0.3123, 0.9311], [0.6877, 0.6877, 0.0689], [0.8084, 0.8084, 0.4407], [0.9390, 0.9390, 0.8214], [0.4396, 0.4396, 0.3250], [0.5604, 0.5604, 0.6750], [0.1195, 0.1195, 0.8440], [0.3984, 0.3984, 0.6034], [0.6016, 0.6016, 0.3966], [0.8805, 0.8805, 0.1560]]
}

Least stable structure: A